Material: MgAsS3
Method: DFT, PBE
State: optimized geometry

* ΔE_f (raw): 49.6 kJ/mol of formula units
* symmetry: No. 221

CIF file:
```
data_MgAsS3
_chemical_formula_sum 'Mg1 As1 S3'
_cell_length_a 4.7327
_cell_length_b 4.7327
_cell_length_c 4.7327
_cell_angle_alpha 90.00
_cell_angle_beta 90.00
_cell_angle_gamma 90.00
_symmetry_space_group_name_H-M 'P 1'
_symmetry_Int_Tables_number 1
loop_
_symmetry_equiv_pos_as_xyz
'x,y,z'
loop_
_atom_site_label
_atom_site_fract_x
_atom_site_fract_y
_atom_site_fract_z
_atom_site_occupancy
Mg1 0.5000 0.5000 0.5000 1
As1 0.0000 0.0000 0.0000 1
S1 0.0000 0.5000 0.0000 1
S2 0.0000 0.0000 0.5000 1
S3 0.5000 0.0000 0.0000 1
```